No. 1
Below is a relaxed structure of Ba3Ga2Si, with properties calculated at the PBE-GGA level.

Cell and atoms, written as POSCAR:
```
Ba3Ga2Si
1.0
13.7327 0.0000 0.0000
0.0000 4.3275 0.0000
0.0000 0.0000 14.2528
Ba Ga Si
12 8 4
Direct
0.0766 0.2500 0.1261
0.1106 0.7500 0.5570
0.1914 0.2500 0.7948
0.3086 0.7500 0.2948
0.3894 0.2500 0.0570
0.4234 0.7500 0.6261
0.5766 0.2500 0.3739
0.6106 0.7500 0.9430
0.6914 0.2500 0.7052
0.8086 0.7500 0.2052
0.8894 0.2500 0.4430
0.9234 0.7500 0.8739
0.0510 0.7500 0.3183
0.2056 0.7500 0.9792
0.2944 0.2500 0.4792
0.4490 0.2500 0.8183
0.5510 0.7500 0.1817
0.7056 0.7500 0.5208
0.7944 0.2500 0.0208
0.9490 0.2500 0.6817
0.1396 0.2500 0.3713
0.3604 0.7500 0.8713
0.6396 0.2500 0.1287
0.8604 0.7500 0.6287
```

Properties
Symmetry: Pnma (62)
Calculated volume, Å³/cell: 847.0
Energy relative to the elements, uncorrected, eV per atom: -0.348
Total magnetization, μB per atom: 0.0000
D(E_F), states/eV/f.u.: 5.51
VASP energy, eV per atom: -3.22

***

No. 2
Below is a relaxed structure of LiMnNi2, with properties calculated at the PBE-GGA level.

Cell and atoms, written as POSCAR:
```
LiMnNi2
1.0
0.0000 2.8683 2.8683
2.8683 0.0000 2.8683
2.8683 2.8683 0.0000
Li Mn Ni
1 1 2
Direct
0.0000 0.0000 0.0000
0.7500 0.7500 0.7500
0.2500 0.2500 0.2500
0.5000 0.5000 0.5000
```

Properties
Symmetry: F-43m (216)
Calculated volume, Å³/cell: 47.2
Total magnetization, μB per atom: 1.1281
D(E_F), states/eV/f.u.: 2.62
VASP energy, eV per atom: -5.59
ΔE_f, meV/atom: 68

***

No. 3
Below is a relaxed structure of PmNd2Dy4Tm, with properties calculated at the PBE-GGA level.

Cell and atoms, written as POSCAR:
```
PmNd2Dy4Tm
1.0
6.8382 -6.6330 0.0000
6.8382 6.6330 0.0000
-3.3949 0.0000 5.9092
Pm Nd Dy Tm
2 4 8 2
Direct
0.0000 0.5000 0.0000
0.5000 0.0000 0.5000
0.0000 0.0000 0.0000
0.0000 0.0000 0.5000
0.0000 0.5000 0.5000
0.5000 0.0000 0.0000
0.2556 0.2558 0.0067
0.2558 0.2556 0.5067
0.2560 0.7433 0.9997
0.2567 0.7440 0.5003
0.7433 0.2560 0.4997
0.7440 0.2567 0.0003
0.7442 0.7444 0.4933
0.7444 0.7442 0.9933
0.5000 0.5000 0.0000
0.5000 0.5000 0.5000
```

Properties
Symmetry: C2/c (15)
Calculated volume, Å³/cell: 536.1
Total magnetization, μB per atom: 0.1836
D(E_F), states/eV/f.u.: 19.49
VASP energy, eV per atom: -4.23
ΔE_f, meV/atom: 415

***

No. 4
Below is a relaxed structure of PuBiSbAu, with properties calculated at the PBE-GGA level.

Cell and atoms, written as POSCAR:
```
PuBiSbAu
1.0
4.3300 0.0000 0.0000
0.0000 4.6244 0.0000
0.0000 0.0000 4.9876
Pu Bi Sb Au
1 1 1 1
Direct
0.0000 0.0000 0.0000
0.5000 0.0000 0.5000
0.5000 0.5000 0.0000
0.0000 0.5000 0.5000
```

Properties
Symmetry: Pmmm (47)
Calculated volume, Å³/cell: 99.9
Polymorph energy (0 for the lowest one), meV/atom: 0.0
Energy relative to the elements, uncorrected, eV per atom: -0.364
Total magnetization, μB per atom: 1.3279
D(E_F), states/eV/f.u.: 10.43
VASP energy, eV per atom: -6.77

***

No. 5
Below is a relaxed structure of ReBRh3, with properties calculated at the PBE-GGA level.

Cell and atoms, written as POSCAR:
```
ReBRh3
1.0
4.0816 0.0000 0.0000
0.0000 4.0816 0.0000
0.0000 0.0000 4.0816
Re B Rh
1 1 3
Direct
0.0000 0.0000 0.0000
0.5000 0.5000 0.5000
0.0000 0.5000 0.5000
0.5000 0.0000 0.5000
0.5000 0.5000 0.0000
```

Properties
Symmetry: Pm-3m (221)
Calculated volume, Å³/cell: 68.0
Polymorph energy (0 for the lowest one), meV/atom: 0.0
Total magnetization, μB per atom: 0.5861
D(E_F), states/eV/f.u.: 3.40
VASP energy, eV per atom: -7.96
ΔE_f, meV/atom: 274

***

No. 6
Below is a relaxed structure of VFeSb2Os, with properties calculated at the PBE-GGA level.

Cell and atoms, written as POSCAR:
```
VFeSb2Os
1.0
5.1202 0.0000 0.0000
0.0000 5.1202 0.0000
0.0000 0.0000 4.6946
V Fe Sb Os
1 1 2 1
Direct
0.0000 0.0000 0.0000
0.5000 0.5000 0.0000
0.0000 0.5000 0.5000
0.5000 0.0000 0.5000
0.0000 0.0000 0.5000
```

Properties
Symmetry: P4/mmm (123)
Calculated volume, Å³/cell: 123.1
Energy relative to the elements, uncorrected, eV per atom: 1.236
Total magnetization, μB per atom: 1.1124
D(E_F), states/eV/f.u.: 8.05
VASP energy, eV per atom: -6.18

***

No. 7
Below is a relaxed structure of Ti2InTc2, with properties calculated at the PBE-GGA level.

Cell and atoms, written as POSCAR:
```
Ti2InTc2
1.0
7.4436 0.0000 0.0000
0.0000 7.4436 0.0000
0.0000 0.0000 3.0337
Ti In Tc
4 2 4
Direct
0.1349 0.3651 0.0000
0.3651 0.8651 0.0000
0.6349 0.1349 0.0000
0.8651 0.6349 0.0000
0.0000 0.0000 0.0000
0.5000 0.5000 0.0000
0.1683 0.6683 0.5000
0.3317 0.1683 0.5000
0.6683 0.8317 0.5000
0.8317 0.3317 0.5000
```

Properties
Symmetry: P4/mbm (127)
Calculated volume, Å³/cell: 168.1
Polymorph energy (0 for the lowest one), meV/atom: 101.7
Total magnetization, μB per atom: 0.0000
D(E_F), states/eV/f.u.: 4.92
VASP energy, eV per atom: -7.82
ΔE_f, meV/atom: 34

***

No. 8
Below is a relaxed structure of Li4EuHo, with properties calculated at the PBE-GGA level.

Cell and atoms, written as POSCAR:
```
Li4EuHo
1.0
0.0000 4.2429 4.2429
4.2429 0.0000 4.2429
4.2429 4.2429 0.0000
Li Eu Ho
4 1 1
Direct
0.3759 0.3759 0.3759
0.3759 0.3759 0.8723
0.3759 0.8723 0.3759
0.8723 0.3759 0.3759
0.0000 0.0000 0.0000
0.7500 0.7500 0.7500
```

Properties
Symmetry: F-43m (216)
Calculated volume, Å³/cell: 152.8
Total magnetization, μB per atom: 1.2831
D(E_F), states/eV/f.u.: 6.06
VASP energy, eV per atom: -3.65
ΔE_f, meV/atom: 105

***

Q: Which of these has the highest calculated volume?
A: Ba3Ga2Si

***

Repeat the sixth record exactly.
Below is a relaxed structure of VFeSb2Os, with properties calculated at the PBE-GGA level.

Cell and atoms, written as POSCAR:
```
VFeSb2Os
1.0
5.1202 0.0000 0.0000
0.0000 5.1202 0.0000
0.0000 0.0000 4.6946
V Fe Sb Os
1 1 2 1
Direct
0.0000 0.0000 0.0000
0.5000 0.5000 0.0000
0.0000 0.5000 0.5000
0.5000 0.0000 0.5000
0.0000 0.0000 0.5000
```

Properties
Symmetry: P4/mmm (123)
Calculated volume, Å³/cell: 123.1
Energy relative to the elements, uncorrected, eV per atom: 1.236
Total magnetization, μB per atom: 1.1124
D(E_F), states/eV/f.u.: 8.05
VASP energy, eV per atom: -6.18

***

Q: D(E_F) of number 1 (Ba3Ga2Si)?
A: 5.51 states/eV/f.u.

***

Q: What is the D(E_F) in the fourth record?
A: 10.43 states/eV/f.u.